Below is a relaxed LaMnO3 crystal, with properties calculated at the PBE with a Hubbard U level.

## Properties
For the density, the calculation gives 4.18 g/cm³. The value obtained for the total energy is -72.35 eV per cell. As for the space group: No. 63.

abc: 8.697 8.697 4.015
angles: 90.00 90.00 140.80
Last column: magnetic moment on the atom in μB.
Atoms (fractional coordinates):
O  0.567  0.932  0.750  0.03
O  0.000  0.000  0.000  -0.03
O  0.068  0.433  0.750  0.02
O  0.000  0.000  0.500  -0.03
O  0.932  0.567  0.250  0.02
O  0.433  0.068  0.250  0.03
La  0.700  0.300  0.750  0.01
La  0.300  0.700  0.250  0.01
Mn  0.099  0.901  0.250  2.48
Mn  0.901  0.099  0.750  2.48